A plane-wave DFT calculation with PBE was carried out for a relaxed structure of Tl5AgHg4.

Unit cell a=3.4098 b=3.4098 c=23.9893 alpha=90.00 beta=90.00 gamma=90.00
Space group P4/mmm (No. 123)
Symmetry-distinct sites (fractional):
Tl (0.0000, 0.0000, 0.0000)
Tl (0.0000, 0.0000, 0.2066)
Tl (0.0000, 0.0000, 0.4153)
Ag (0.5000, 0.5000, 0.5000)
Hg (0.5000, 0.5000, 0.1021)
Hg (0.5000, 0.5000, 0.3104)

Calculated values
Formation energy, meV per atom: 30
Magnetization, μB per atom: 0.0000
DOS(E_F), states/eV/atom: 0.413

A plane-wave DFT calculation with PBE was carried out for a relaxed structure of Tl4AgHg15.

Unit cell a=5.2403 b=4.0429 c=25.6910 alpha=90.00 beta=91.78 gamma=90.00
Space group P2/m (No. 10)
Symmetry-distinct sites (fractional):
Tl (0.1150, 0.0000, 0.1041)
Tl (0.3269, 0.0000, 0.3144)
Ag (0.5000, 0.0000, 0.5000)
Hg (0.0000, 0.5000, 0.0000)
Hg (0.0000, 0.5000, 0.5000)
Hg (0.1210, 0.0000, 0.5941)
Hg (0.1742, 0.5000, 0.6948)
Hg (0.2267, 0.5000, 0.2073)
Hg (0.2793, 0.0000, 0.7942)
Hg (0.3857, 0.5000, 0.8972)
Hg (0.4028, 0.5000, 0.4153)
Hg (0.5000, 0.0000, 0.0000)

Calculated values
Formation energy, meV per atom: 4
Magnetization, μB per atom: 0.0000
DOS(E_F), states/eV/atom: 0.188